<a>
Here is a relaxed structure of AsPSe2 from Alexandria via LeMat-Bulk. Energies are from PBE.

Computed properties:
**M_tot**: 0.0 Bohr magnetons per cell

a b c (Å): 3.599 3.599 7.895
angles (deg): 90.00 90.00 90.00
Element x y z (fractional)
As: 0.000 0.000 0.000
P: 0.500 0.500 0.920
Se: 0.000 0.000 0.288
Se: 0.500 0.500 0.648



<b>
Here is a relaxed structure of AsPSe2 from Alexandria via LeMat-Bulk. Energies are from PBE.

Computed properties:
**M_tot**: 0.0 Bohr magnetons per cell

a b c (Å): 2.767 4.988 7.861
angles (deg): 90.00 90.28 90.00
Element x y z (fractional)
As: 0.000 0.000 0.000
P: 0.002 0.500 0.074
Se: 0.006 0.500 0.356
Se: 0.996 0.000 0.696



It is <b> that is the most stable of them.



<a>
Here is a relaxed structure of SiAsPSe2 from Alexandria via LeMat-Bulk. Energies are from PBE.

Computed properties:
**M_tot**: 0.0 Bohr magnetons per cell

a b c (Å): 4.734 4.734 4.824
angles (deg): 90.00 90.00 90.00
Element x y z (fractional)
Si: 0.000 0.000 0.000
As: 0.000 0.000 0.500
P: 0.500 0.500 0.500
Se: 0.000 0.500 0.000
Se: 0.500 0.000 0.000



<b>
Here is a relaxed structure of SiAsPSe2 from Alexandria via LeMat-Bulk. Energies are from PBE.

Computed properties:
**M_tot**: 0.0 Bohr magnetons per cell

a b c (Å): 4.893 4.893 4.653
angles (deg): 90.00 90.00 90.00
Element x y z (fractional)
Si: 0.000 0.000 0.000
As: 0.500 0.500 0.000
P: 0.500 0.500 0.500
Se: 0.000 0.500 0.500
Se: 0.500 0.000 0.500



It is <b> that is the most stable of them.